Record 1
# Mg2Ni5SnGe2 | Alexandria | GGA-PBE | optimized geometry
# Formation energy   -0.253 eV/atom
# Uncorrected energy   -0.35178 Ry per atom
# Calculated volume   14.56 A^3/atom
data_Mg2Ni5SnGe2
_space_group_name_H-M_alt 'P 4/m b m'
_space_group_IT_number 127
_space_group_name_Hall '-P 4 2ab'
_cell_length_a 9.120
_cell_length_b 9.120
_cell_length_c 3.501
_cell_angle_alpha 90.00
_cell_angle_beta 90.00
_cell_angle_gamma 90.00
loop_
_atom_site_label
_atom_site_type_symbol
_atom_site_fract_x
_atom_site_fract_y
_atom_site_fract_z
_atom_site_occupancy
Mg1 Mg 0.173 0.327 0.000 1
Ni1 Ni 0.000 0.500 0.500 1
Ni2 Ni 0.065 0.790 0.500 1
Sn1 Sn 0.000 0.000 0.000 1
Ge1 Ge 0.124 0.624 0.000 1

---

Record 2
# Sr2MgNi3Ge4 | Alexandria | GGA-PBE | optimized geometry
# Formation energy   -0.442 eV/atom
# Uncorrected energy   -0.33212 Ry per atom
# Calculated volume   18.86 A^3/atom
data_Sr2MgNi3Ge4
_space_group_name_H-M_alt 'P -4 m 2'
_space_group_IT_number 115
_cell_length_a 4.281
_cell_length_b 4.281
_cell_length_c 10.295
_cell_angle_alpha 90.00
_cell_angle_beta 90.00
_cell_angle_gamma 90.00
loop_
_space_group_symop_operation_xyz
'x,y,z'
'y,-x,-z'
'-x,-y,z'
'-y,x,-z'
'-x,y,z'
'-y,-x,-z'
'x,-y,z'
'y,x,-z'
loop_
_atom_site_label
_atom_site_type_symbol
_atom_site_fract_x
_atom_site_fract_y
_atom_site_fract_z
_atom_site_occupancy
Sr1 Sr 0.000 0.500 0.242 1
Mg1 Mg 0.000 0.000 0.500 1
Ni1 Ni 0.000 0.500 0.885 1
Ni2 Ni 0.500 0.500 0.500 1
Ge1 Ge 0.000 0.000 0.000 1
Ge2 Ge 0.000 0.500 0.648 1
Ge3 Ge 0.500 0.500 0.000 1

---

Record 3
# SrMg2NiGe | Alexandria | GGA-PBE | optimized geometry
# Formation energy   -0.222 eV/atom
# Uncorrected energy   -0.24080 Ry per atom
# Calculated volume   22.51 A^3/atom
data_SrMg2NiGe
_space_group_name_H-M_alt 'P 4/m m m'
_space_group_IT_number 123
_space_group_name_Hall '-P 4 2'
_cell_length_a 4.924
_cell_length_b 4.924
_cell_length_c 4.642
_cell_angle_alpha 90.00
_cell_angle_beta 90.00
_cell_angle_gamma 90.00
loop_
_atom_site_label
_atom_site_type_symbol
_atom_site_fract_x
_atom_site_fract_y
_atom_site_fract_z
_atom_site_occupancy
Sr1 Sr 0.000 0.000 0.000 1
Mg1 Mg 0.000 0.500 0.500 1
Ni1 Ni 0.500 0.500 0.500 1
Ge1 Ge 0.500 0.500 0.000 1